# 1
Density functional theory data (SCAN) for a crystal of PrSiPt relaxed with PBEsol.

ΔE_f (raw): -125.4 kJ/mol of atoms

Lattice parameters (Å, degrees): 7.755 7.755 7.755 148.58 148.58 45.03
Fractional positions:
Pr (0.000, 0.000, 0.000)
Pr (0.750, 0.250, 0.500)
Si (0.331, 0.831, 0.500)
Si (0.581, 0.581, 0.000)
Pt (0.162, 0.662, 0.500)
Pt (0.412, 0.412, 0.000)

***

# 2
Density functional theory data (SCAN) for a crystal of Pr2Si5Pt3 relaxed with PBEsol.

ΔE_f (raw): -109.7 kJ/mol of atoms

Lattice parameters (Å, degrees): 8.206 8.206 8.206 105.52 90.23 136.75
Fractional positions:
Pr (0.129, 0.233, 0.362)
Pr (0.371, 0.733, 0.104)
Pr (0.629, 0.267, 0.896)
Pr (0.871, 0.767, 0.638)
Si (0.021, 0.750, 0.271)
Si (0.113, 0.649, 0.762)
Si (0.250, 0.250, 0.000)
Si (0.387, 0.149, 0.536)
Si (0.479, 0.750, 0.729)
Si (0.521, 0.250, 0.271)
Si (0.613, 0.851, 0.464)
Si (0.750, 0.750, 0.000)
Si (0.887, 0.351, 0.238)
Si (0.979, 0.250, 0.729)
Pt (0.136, 0.890, 0.026)
Pt (0.250, 0.750, 0.500)
Pt (0.364, 0.390, 0.754)
Pt (0.636, 0.610, 0.246)
Pt (0.750, 0.250, 0.500)
Pt (0.864, 0.110, 0.974)

***

# 3
Density functional theory data (SCAN) for a crystal of RbPrTe4 relaxed with PBEsol.

ΔE_f (raw): -106.5 kJ/mol of atoms

Lattice parameters (Å, degrees): 6.859 6.859 9.141 90.00 90.00 90.00
Fractional positions:
Rb (0.250, 0.250, 0.000)
Rb (0.750, 0.750, 0.000)
Pr (0.250, 0.250, 0.500)
Pr (0.750, 0.750, 0.500)
Te (0.105, 0.605, 0.291)
Te (0.105, 0.895, 0.709)
Te (0.395, 0.605, 0.709)
Te (0.395, 0.895, 0.291)
Te (0.605, 0.105, 0.709)
Te (0.605, 0.395, 0.291)
Te (0.895, 0.105, 0.291)
Te (0.895, 0.395, 0.709)

***

# 4
Density functional theory data (SCAN) for a crystal of Pr3Rh2 relaxed with PBEsol.

formation enthalpy at 0 K: -0.671 eV per atom

Lattice parameters (Å, degrees): 7.511 7.511 7.511 71.93 71.93 71.93
Fractional positions:
Pr (0.000, 0.000, 0.000)
Pr (0.165, 0.391, 0.665)
Pr (0.205, 0.205, 0.205)
Pr (0.335, 0.835, 0.609)
Pr (0.391, 0.665, 0.165)
Pr (0.609, 0.335, 0.835)
Pr (0.665, 0.165, 0.391)
Pr (0.795, 0.795, 0.795)
Pr (0.835, 0.609, 0.335)
Rh (0.042, 0.841, 0.410)
Rh (0.159, 0.590, 0.958)
Rh (0.410, 0.042, 0.841)
Rh (0.590, 0.958, 0.159)
Rh (0.841, 0.410, 0.042)
Rh (0.958, 0.159, 0.590)